[1]
Density functional theory data (PBE) for crystalline Ca3AgHg3 at its relaxed geometry.

Unit cell a=4.8387 b=3.8522 c=10.7783 alpha=100.29 beta=102.97 gamma=90.00
Closest atoms and distances in Å follow each position.
Element x y z (fractional)
Ca: 0.3118 0.8118 0.6236  2 Ag 3.13, 5 Hg 3.21-3.29
Hg: 0.5661 0.5661 0.1322  1 Ag 2.79, 2 Hg 3.00
Hg: 0.8528 0.3528 0.7055  2 Ag 2.91, 4 Ca 3.21
Ag: 0.4311 0.4311 0.8621  3 Hg 2.79-2.91
Hg: 0.1524 0.6524 0.3047  2 Hg 3.00, 5 Ca 3.20-3.29
Ca: 0.6925 0.1925 0.3850  7 Hg 3.20-3.31
Ca: 0.9934 0.9934 0.9869  4 Ag 3.35, 6 Hg 3.44-3.49

Space-group type ... No. 44

[2]
Density functional theory data (PBE) for crystalline CaAgHg2 at its relaxed geometry.

Unit cell a=8.2632 b=8.2632 c=6.6152 alpha=51.35 beta=51.35 gamma=90.00
Closest atoms and distances in Å follow each position.
Element x y z (fractional)
Hg: 0.0929 0.6250 0.2500  2 Ag 2.85, 2 Hg 3.15
Ag: 0.0000 0.0000 0.0000  4 Hg 2.85, 2 Ca 3.10
Ca: 0.2500 0.7500 0.5000  2 Ag 3.10, 4 Hg 3.21
Ca: 0.5000 0.5000 0.0000  2 Ag 3.10, 4 Hg 3.21
Hg: 0.6571 0.1250 0.2500  2 Ag 2.85, 2 Hg 3.15
Hg: 0.8750 0.9071 0.7500  2 Ag 2.85, 2 Hg 3.15
Ag: 0.7500 0.2500 0.5000  4 Hg 2.85, 2 Ca 3.10
Hg: 0.3750 0.3429 0.7500  2 Ag 2.85, 2 Hg 3.15

Space-group type ... No. 122

[3]
Density functional theory data (PBE) for crystalline Ca2AgHg at its relaxed geometry.

Unit cell a=4.1538 b=4.1538 c=8.4393 alpha=75.75 beta=75.75 gamma=60.00
Closest atoms and distances in Å follow each position.
Element x y z (fractional)
Ca: 0.0787 0.0787 0.7638  3 Ag 3.07, 3 Hg 3.21
Ag: 0.6662 0.6662 0.0013  6 Ca 3.06-3.07
Ca: 0.2548 0.2548 0.2356  3 Ag 3.06, 3 Hg 3.21
Hg: 0.5002 0.5002 0.4993  6 Ca 3.21

Space-group type ... No. 160

[4]
Density functional theory data (PBE) for crystalline CaAg2Hg4 at its relaxed geometry.

Unit cell a=4.8705 b=4.8705 c=7.2528 alpha=90.00 beta=90.00 gamma=90.00
Closest atoms and distances in Å follow each position.
Element x y z (fractional)
Hg: 0.0000 0.5000 0.2790  4 Ag 2.92-3.17, 2 Ca 3.17, 1 Hg 3.21
Hg: 0.5000 0.0000 0.7210  4 Ag 2.92-3.17, 2 Ca 3.17, 1 Hg 3.21
Ca: 0.5000 0.5000 0.0000  8 Hg 3.17, 4 Ag 3.44
Hg: 0.5000 0.0000 0.2790  4 Ag 2.92-3.17, 2 Ca 3.17, 1 Hg 3.21
Ag: 0.0000 0.0000 0.0000  8 Hg 3.17, 4 Ca 3.44
Hg: 0.0000 0.5000 0.7210  4 Ag 2.92-3.17, 2 Ca 3.17, 1 Hg 3.21
Ag: 0.5000 0.5000 0.5000  8 Hg 2.92

Space-group type ... No. 123

[5]
Density functional theory data (PBE) for crystalline Ca2AgHg at its relaxed geometry.

Unit cell a=4.4078 b=4.4078 c=7.7956 alpha=75.17 beta=75.17 gamma=57.06
Closest atoms and distances in Å follow each position.
Element x y z (fractional)
Ca: 0.5051 0.5051 0.4861  3 Ag 3.06-3.07, 3 Hg 3.18-3.19
Ag: 0.2500 0.2500 0.2500  6 Ca 3.06-3.07
Hg: 0.7500 0.7500 0.7500  6 Ca 3.18-3.19
Ca: 0.9949 0.9949 0.0139  3 Ag 3.06-3.07, 3 Hg 3.18-3.19

Space-group type ... No. 12

[6]
Density functional theory data (PBE) for crystalline CaAg2Hg at its relaxed geometry.

Unit cell a=3.8156 b=3.5777 c=7.4725 alpha=61.44 beta=90.00 gamma=90.00
Closest atoms and distances in Å follow each position.
Element x y z (fractional)
Ag: 0.5000 0.2815 0.2185  1 Hg 2.92, 4 Ag 2.95, 4 Ca 3.19
Ag: 0.0000 0.9882 0.0118  4 Ag 2.95, 4 Hg 3.05, 1 Ca 3.18
Ca: 0.0000 0.5039 0.4962  6 Ag 3.18-3.38, 4 Hg 3.18-3.19
Hg: 0.5000 0.7263 0.7735  5 Ag 2.92-3.05, 4 Ca 3.18-3.19

Space-group type ... No. 25

[7]
Density functional theory data (PBE) for crystalline CaAg4Hg2 at its relaxed geometry.

Unit cell a=5.4908 b=5.4908 c=8.1373 alpha=70.28 beta=70.28 gamma=90.00
Closest atoms and distances in Å follow each position.
Element x y z (fractional)
Hg: 0.6020 0.6020 0.7960  1 Ag 2.72, 1 Hg 2.92
Hg: 0.3980 0.3980 0.2040  1 Ag 2.72, 1 Hg 2.92
Ag: 0.5000 0.0000 0.0000  2 Ca 2.75
Ag: 0.7924 0.7924 0.4151  1 Hg 2.72, 1 Ca 2.97
Ca: 0.0000 0.0000 0.0000  6 Ag 2.75-2.97
Ag: 0.2076 0.2076 0.5849  1 Hg 2.72, 1 Ca 2.97
Ag: 0.0000 0.5000 0.0000  2 Ca 2.75

Space-group type ... No. 139

[8]
Density functional theory data (PBE) for crystalline CaAgHg2 at its relaxed geometry.

Unit cell a=3.8373 b=3.8373 c=6.5892 alpha=90.00 beta=90.00 gamma=90.00
Closest atoms and distances in Å follow each position.
Element x y z (fractional)
Ca: 0.5000 0.5000 0.7472  6 Hg 3.19-3.40, 4 Ag 3.22
Hg: 0.5000 0.5000 0.2637  4 Ag 3.07, 2 Ca 3.19-3.40, 4 Hg 3.20
Ag: 0.0000 0.0000 0.4832  5 Hg 3.07-3.14, 4 Ca 3.22
Hg: 0.0000 0.0000 0.0059  2 Ag 3.14-3.44, 4 Hg 3.20, 4 Ca 3.20

Space-group type ... No. 99

[9]
Density functional theory data (PBE) for crystalline CaAg2Hg2 at its relaxed geometry.

Unit cell a=4.8327 b=9.1832 c=5.8718 alpha=81.09 beta=67.52 gamma=74.26
Closest atoms and distances in Å follow each position.
Element x y z (fractional)
Hg: 0.6122 0.0480 0.2390  4 Ag 2.88-2.93, 1 Hg 2.91
Ag: 0.8919 0.7909 0.9298  5 Hg 2.89-3.23, 2 Ag 2.90-2.92, 1 Ca 3.15
Ag: 0.5321 0.6257 0.8142  4 Hg 2.88-2.97, 3 Ag 2.90-2.92
Hg: 0.1686 0.4602 0.7063  5 Ag 2.89-3.23
Ag: 0.4679 0.3743 0.1858  4 Hg 2.88-2.97, 3 Ag 2.90-2.92
Ca: 0.8123 0.2077 0.6513  4 Ag 3.15-3.35, 6 Hg 3.27-3.43
Hg: 0.3878 0.9520 0.7610  4 Ag 2.88-2.93, 1 Hg 2.91
Hg: 0.8314 0.5398 0.2937  5 Ag 2.89-3.23
Ca: 0.1877 0.7923 0.3487  4 Ag 3.15-3.35, 6 Hg 3.27-3.43
Ag: 0.1082 0.2091 0.0702  5 Hg 2.89-3.23, 2 Ag 2.90-2.92, 1 Ca 3.15

Space-group type ... No. 2

[10]
Density functional theory data (PBE) for crystalline CaAgHg2 at its relaxed geometry.

Unit cell a=5.8454 b=8.2102 c=8.2120 alpha=90.00 beta=90.00 gamma=90.00
Closest atoms and distances in Å follow each position.
Element x y z (fractional)
Hg: 0.0931 0.9474 0.8054  3 Ag 2.88-2.92, 2 Hg 3.18
Ag: 0.3833 0.7500 0.6010  6 Hg 2.88-2.92, 2 Ca 3.12-3.17
Ag: 0.1167 0.7500 0.1010  6 Hg 2.88-2.92, 2 Ca 3.12-3.17
Ag: 0.8833 0.2500 0.8990  6 Hg 2.88-2.92, 2 Ca 3.12-3.17
Ca: 0.1213 0.2500 0.5411  3 Ag 3.12-3.25, 4 Hg 3.30-3.44
Hg: 0.9069 0.4474 0.1946  3 Ag 2.88-2.92, 2 Hg 3.18
Ca: 0.3787 0.2500 0.0411  3 Ag 3.12-3.25, 4 Hg 3.30-3.44
Hg: 0.5931 0.4474 0.6946  3 Ag 2.88-2.92, 2 Hg 3.18
Ca: 0.6213 0.7500 0.9589  3 Ag 3.12-3.25, 4 Hg 3.30-3.44
Ca: 0.8787 0.7500 0.4589  3 Ag 3.12-3.25, 4 Hg 3.30-3.44
Ag: 0.6167 0.2500 0.3990  6 Hg 2.88-2.92, 2 Ca 3.12-3.17
Hg: 0.5931 0.0526 0.6946  3 Ag 2.88-2.92, 2 Hg 3.18
Hg: 0.4069 0.9474 0.3054  3 Ag 2.88-2.92, 2 Hg 3.18
Hg: 0.9069 0.0526 0.1946  3 Ag 2.88-2.92, 2 Hg 3.18
Hg: 0.0931 0.5526 0.8054  3 Ag 2.88-2.92, 2 Hg 3.18
Hg: 0.4069 0.5526 0.3054  3 Ag 2.88-2.92, 2 Hg 3.18

Space-group type ... No. 62

[11]
Density functional theory data (PBE) for crystalline Ca3AgHg7 at its relaxed geometry.

Unit cell a=4.0618 b=12.1466 c=12.4478 alpha=90.00 beta=90.00 gamma=99.62
Closest atoms and distances in Å follow each position.
Element x y z (fractional)
Hg: 0.3635 0.7271 0.7500  2 Hg 3.10, 5 Ca 3.33-3.47
Ca: 0.2185 0.4370 0.7500  7 Hg 3.12-3.47
Hg: 0.6302 0.2603 0.6343  3 Hg 2.88-3.11, 2 Ag 2.99, 2 Ca 3.21
Ca: 0.0950 0.1901 0.4466  8 Hg 3.18-3.39
Ca: 0.7815 0.5630 0.2500  7 Hg 3.12-3.47
Hg: 0.7084 0.4168 0.0427  4 Hg 2.89-3.10, 1 Ca 3.12
Ca: 0.0950 0.1901 0.0534  8 Hg 3.18-3.39
Hg: 0.2916 0.5832 0.5427  4 Hg 2.89-3.10, 1 Ca 3.12
Hg: 0.5006 0.0012 0.6229  2 Ag 2.95, 3 Hg 3.06-3.16, 2 Ca 3.18
Hg: 0.2916 0.5832 0.9573  4 Hg 2.89-3.10, 1 Ca 3.12
Hg: 0.4994 0.9988 0.1229  2 Ag 2.95, 3 Hg 3.06-3.16, 2 Ca 3.18
Hg: 0.7084 0.4168 0.4573  4 Hg 2.89-3.10, 1 Ca 3.12
Ag: 0.0610 0.1220 0.7500  8 Hg 2.95-2.99
Ca: 0.9050 0.8099 0.5534  8 Hg 3.18-3.39
Hg: 0.3698 0.7397 0.3657  3 Hg 2.88-3.11, 2 Ag 2.99, 2 Ca 3.21
Hg: 0.3698 0.7397 0.1343  3 Hg 2.88-3.11, 2 Ag 2.99, 2 Ca 3.21
Hg: 0.5006 0.0012 0.8771  2 Ag 2.95, 3 Hg 3.06-3.16, 2 Ca 3.18
Ca: 0.9050 0.8099 0.9466  8 Hg 3.18-3.39
Ag: 0.9390 0.8780 0.2500  8 Hg 2.95-2.99
Hg: 0.4994 0.9988 0.3771  2 Ag 2.95, 3 Hg 3.06-3.16, 2 Ca 3.18
Hg: 0.6365 0.2729 0.2500  2 Hg 3.10, 5 Ca 3.33-3.47
Hg: 0.6302 0.2603 0.8657  3 Hg 2.88-3.11, 2 Ag 2.99, 2 Ca 3.21

Space-group type ... No. 63

[12]
Density functional theory data (PBE) for crystalline CaAgHg6 at its relaxed geometry.

Unit cell a=4.5656 b=5.4975 c=8.9074 alpha=77.01 beta=75.15 gamma=65.47
Closest atoms and distances in Å follow each position.
Element x y z (fractional)
Hg: 0.2453 0.8639 0.6456  6 Hg 3.15-3.52, 1 Ag 3.21, 3 Ca 3.26-3.27
Ag: 0.0000 0.0000 0.0000  12 Hg 3.11-3.23
Hg: 0.7457 0.6190 0.8896  8 Hg 3.10-3.31, 3 Ag 3.11-3.20
Hg: 0.5079 0.2320 0.7522  7 Hg 3.13-3.31, 2 Ag 3.23, 2 Ca 3.31
Hg: 0.2543 0.3810 0.1104  8 Hg 3.10-3.31, 3 Ag 3.11-3.20
Hg: 0.4921 0.7680 0.2478  7 Hg 3.13-3.31, 2 Ag 3.23, 2 Ca 3.31
Hg: 0.7547 0.1361 0.3544  6 Hg 3.15-3.52, 1 Ag 3.21, 3 Ca 3.26-3.27
Ca: 0.0000 0.5000 0.5000  12 Hg 3.26-3.48

Space-group type ... No. 12

no.,total magnetic moment (Bohr magnetons per cell),VASP energy (eV per atom)
1,0.000,-1.84
2,0.000,-1.54
3,0.000,-2.07
4,0.000,-1.43
5,0.000,-2.08
6,0.000,-2.23
7,0.000,-1.48
8,0.000,-1.62
9,0.000,-1.90
10,0.000,-1.66
11,0.000,-1.28
12,0.000,-0.98